Compound: CaTaNbOs2
Source: Alexandria
Functional: GGA-PBE
Structure: optimized geometry

Properties
Raw total energy in eV per atom: -9.4129
Magnetic moment in μB per cell: 0.00
Formation enthalpy at 0 K in eV per atom: -0.136

Structure (CIF):
```
data_CaTaNbOs2
_space_group_name_H-M_alt 'I -4 m 2'
_space_group_IT_number 119
_space_group_name_Hall 'I -4 -2'
_cell_length_a 4.376
_cell_length_b 4.376
_cell_length_c 10.893
_cell_angle_alpha 90.00
_cell_angle_beta 90.00
_cell_angle_gamma 90.00
loop_
_atom_site_label
_atom_site_fract_x
_atom_site_fract_y
_atom_site_fract_z
Ca1 0.000 0.000 0.000
Ta1 0.000 0.500 0.750
Nb1 0.000 0.500 0.250
Os1 0.000 0.000 0.382
```



Compound: Na2Bi3H2Pd5
Source: Alexandria
Functional: GGA-PBE
Structure: optimized geometry

Properties
Raw total energy in eV per atom: -4.1185
Magnetic moment in μB per cell: 0.00

Structure (CIF):
```
data_Na2Bi3H2Pd5
_space_group_name_H-M_alt 'I 4/m m m'
_space_group_IT_number 139
_space_group_name_Hall '-I 4 2'
_cell_length_a 4.312
_cell_length_b 4.312
_cell_length_c 23.648
_cell_angle_alpha 90.00
_cell_angle_beta 90.00
_cell_angle_gamma 90.00
loop_
_atom_site_label
_atom_site_fract_x
_atom_site_fract_y
_atom_site_fract_z
Na1 0.000 0.000 0.195
Bi1 0.000 0.000 0.335
Bi2 0.000 0.000 0.500
H1 0.000 0.000 0.077
Pd1 0.000 0.000 0.000
Pd2 0.000 0.500 0.088
```



Compound: Hf2ZrZnCu
Source: Alexandria
Functional: GGA-PBE
Structure: optimized geometry

Properties
Raw total energy in eV per atom: -5.3856
Magnetic moment in μB per cell: 0.00
Formation enthalpy at 0 K in eV per atom: 1.379

Structure (CIF):
```
data_Hf2ZrZnCu
_space_group_name_H-M_alt 'P 4/m m m'
_space_group_IT_number 123
_space_group_name_Hall '-P 4 2'
_cell_length_a 5.054
_cell_length_b 5.054
_cell_length_c 5.080
_cell_angle_alpha 90.00
_cell_angle_beta 90.00
_cell_angle_gamma 90.00
loop_
_atom_site_label
_atom_site_fract_x
_atom_site_fract_y
_atom_site_fract_z
Hf1 0.000 0.500 0.000
Zr1 0.000 0.000 0.000
Zn1 0.000 0.000 0.500
Cu1 0.500 0.500 0.500
```